[1]
Density functional theory data (PBE-GGA) for PuPa4Ga2 after structural relaxation.

```
PuPa4Ga2
1.0
-2.918 -4.109 -3.326
4.070 -2.350 3.791
-3.542 2.996 3.865
Ga Pa Pu
2 4 1
Cartesian
0.576 -3.230 0.232 Ga
-3.230 -0.557 0.270 Ga
-1.195 -1.732 2.165 Pa
2.035 -1.175 1.895 Pa
-1.459 -2.055 -1.663 Pa
-1.771 1.498 1.933 Pa
0.000 0.000 0.000 Pu
```

## Properties
energy of formation from the pure elements	-0.007	eV per atom
total magnetic moment	3.14	μB per cell


[2]
Density functional theory data (PBE-GGA) for MgScMoP2 after structural relaxation.

```
MgScMoP2
1.0
4.710 0.000 0.000
0.000 5.029 0.000
0.000 0.000 4.710
Mg Mo Sc P
1 1 1 2
Cartesian
2.355 2.514 2.355 Mg
0.000 0.000 0.000 Mo
0.000 2.514 0.000 Sc
0.000 0.000 2.355 P
2.355 0.000 0.000 P
```

## Properties
energy of formation from the pure elements	0.231	eV per atom
total magnetic moment	0.00	μB per cell


[3]
Density functional theory data (PBE-GGA) for ReAg2W after structural relaxation.

```
ReAg2W
1.0
3.022 0.000 0.000
0.000 4.431 0.000
0.000 0.000 4.935
Ag Re W
2 1 1
Cartesian
1.511 2.215 0.000 Ag
0.000 0.000 0.000 Ag
1.511 0.000 2.468 Re
0.000 2.215 2.468 W
```

## Properties
energy of formation from the pure elements	0.662	eV per atom
relative energy among the computed polymorphs	305.1	meV/atom
total magnetic moment	0.00	μB per cell


[4]
Density functional theory data (PBE-GGA) for V2FeRuAu after structural relaxation.

```
V2FeRuAu
1.0
4.404 0.000 0.000
0.000 5.015 0.000
0.000 0.000 4.404
Fe Au V Ru
1 1 2 1
Cartesian
2.202 2.507 2.202 Fe
0.000 2.507 0.000 Au
2.202 0.000 0.000 V
0.000 0.000 2.202 V
0.000 0.000 0.000 Ru
```

## Properties
energy of formation from the pure elements	1.506	eV per atom
total magnetic moment	1.87	μB per cell


[5]
Density functional theory data (PBE-GGA) for CeInAgCl6 after structural relaxation.

```
CeInAgCl6
1.0
6.947 0.000 0.000
-3.474 6.016 0.000
0.000 0.000 13.765
In Cl Ag Ce
2 12 2 2
Cartesian
0.000 0.000 0.000 In
0.000 0.000 6.882 In
0.993 5.936 11.870 Cl
4.644 3.828 4.987 Cl
1.310 2.108 4.987 Cl
2.303 3.828 1.895 Cl
-0.993 5.936 8.778 Cl
2.481 0.080 1.895 Cl
1.171 2.188 11.870 Cl
-1.171 2.188 8.778 Cl
5.637 2.108 1.895 Cl
4.467 0.080 4.987 Cl
-2.164 3.908 11.870 Cl
2.164 3.908 8.778 Cl
3.474 2.005 10.324 Ag
0.000 4.011 3.441 Ag
3.474 2.005 3.441 Ce
0.000 4.011 10.324 Ce
```

## Properties
ΔE_f (raw)	-1.389	eV per atom
total magnetic moment	0.17	μB per cell


[6]
Density functional theory data (PBE-GGA) for SrMg2In after structural relaxation.

```
SrMg2In
1.0
10.793 0.051 0.030
10.154 3.657 0.030
10.154 1.798 3.185
Sr In Mg
1 1 2
Cartesian
7.775 1.376 0.811 Sr
23.326 4.129 2.434 In
0.296 0.052 0.031 Mg
15.255 2.700 1.592 Mg
```

## Properties
energy of formation from the pure elements	0.068	eV per atom
total magnetic moment	0.00	μB per cell


[7]
Density functional theory data (PBE-GGA) for Nd12Ni6Sn after structural relaxation.

```
Nd12Ni6Sn
1.0
8.719 0.000 0.000
-2.906 8.220 0.000
-2.906 -4.110 7.119
Ni Nd Sn
6 12 1
Cartesian
-2.202 1.557 4.423 Ni
-0.705 5.169 3.560 Ni
0.705 -0.498 6.256 Ni
2.202 4.608 0.863 Ni
3.611 -1.059 3.560 Ni
5.108 2.553 2.696 Ni
0.701 -0.496 3.505 Nd
-0.044 6.196 0.859 Nd
-2.205 -0.826 5.796 Nd
5.857 -0.268 2.182 Nd
5.111 4.937 1.323 Nd
-2.950 4.378 4.937 Nd
3.608 1.322 4.937 Nd
0.044 2.355 5.796 Nd
2.862 1.756 1.323 Nd
2.950 -2.086 6.260 Nd
2.205 4.606 3.614 Nd
-0.701 2.788 2.182 Nd
0.000 0.000 0.000 Sn
```

## Properties
energy of formation from the pure elements	-0.304	eV per atom
total magnetic moment	0.00	μB per cell


[8]
Density functional theory data (PBE-GGA) for YAg2Os after structural relaxation.

```
YAg2Os
1.0
-1.026 -0.358 5.688
-3.892 -1.047 4.158
0.162 -4.300 1.633
Os Ag Y
1 2 1
Cartesian
-1.189 -1.426 2.870 Os
-2.487 -2.791 5.916 Ag
-4.809 -1.466 9.669 Ag
-3.567 -4.279 8.609 Y
```

## Properties
energy of formation from the pure elements	0.188	eV per atom
relative energy among the computed polymorphs	21.5	meV/atom
total magnetic moment	0.00	μB per cell